Entry 1:
Computed, not measured: a relaxed structure of HoSc5In3 at the PBE level of DFT.

abc: 6.368 8.830 8.830
angles: 120.00 90.00 90.00
Atoms (fractional coordinates):
1 Ho 0.000 0.000 0.000
2 Ho 0.500 0.000 0.000
3 Sc 0.000 0.667 0.333
4 Sc 0.500 0.333 0.667
5 Sc 0.000 0.333 0.667
6 Sc 0.500 0.667 0.333
7 Sc 0.750 0.664 0.664
8 Sc 0.750 0.000 0.336
9 Sc 0.750 0.336 0.000
10 Sc 0.250 0.336 0.336
11 Sc 0.250 0.000 0.664
12 Sc 0.250 0.664 0.000
13 In 0.750 0.336 0.336
14 In 0.750 0.000 0.664
15 In 0.750 0.664 0.000
16 In 0.250 0.664 0.664
17 In 0.250 0.000 0.336
18 In 0.250 0.336 0.000

Results
Energy of formation from the pure elements (meV/atom): -367.8
Total moment (μB/f.u.): 0.152
Volume (Å³/f.u.): 215.0
DFT total energy (eV per cell): -95.5
N(E_F) (states/eV per cell): 20.9

=====

Entry 2:
Computed, not measured: a relaxed structure of YGa3O at the PBE level of DFT.

abc: 5.579 5.579 5.579
angles: 90.00 90.00 90.00
Atoms (fractional coordinates):
1 Y 0.000 0.000 0.000
2 O 0.500 0.500 0.500
3 Ga 0.000 0.500 0.000
4 Ga 0.000 0.000 0.500
5 Ga 0.500 0.000 0.000

Results
Total moment (μB/f.u.): 0.000
Polymorph energy (0 for the lowest one) (meV per atom): 1572
Volume (Å³/f.u.): 173.6
DFT total energy (eV per cell): -15.0
Energy relative to the elements, uncorrected (eV/f.u.): 5.5
N(E_F) (states/eV per cell): 5.0

=====

Entry 3:
Computed, not measured: a relaxed structure of InAsIr2Cl at the PBE level of DFT.

abc: 4.475 5.013 4.475
angles: 90.00 90.00 90.00
Atoms (fractional coordinates):
1 Cl 0.000 0.000 0.000
2 As 0.000 0.500 0.000
3 Ir 0.000 0.000 0.500
4 Ir 0.500 0.000 0.000
5 In 0.500 0.500 0.500

Results
Total moment (μB/f.u.): 0.404
Volume (Å³/f.u.): 100.4
DFT total energy (eV per cell): -20.4
Energy relative to the elements, uncorrected (eV/f.u.): 6.5
N(E_F) (states/eV per cell): 5.5

=====

Entry 4:
Computed, not measured: a relaxed structure of Nd5TeRh2 at the PBE level of DFT.

abc: 8.031 8.031 8.929
angles: 116.72 116.72 90.00
Atoms (fractional coordinates):
1 Nd 0.519 0.708 0.727
2 Nd 0.792 0.981 0.273
3 Nd 0.000 0.000 0.000
4 Nd 0.500 0.500 0.000
5 Nd 0.208 0.019 0.727
6 Nd 0.708 0.208 0.727
7 Nd 0.019 0.519 0.727
8 Nd 0.292 0.792 0.273
9 Nd 0.981 0.481 0.273
10 Nd 0.481 0.292 0.273
11 Te 0.750 0.750 0.500
12 Te 0.250 0.250 0.500
13 Rh 0.142 0.358 0.000
14 Rh 0.642 0.142 0.000
15 Rh 0.358 0.858 0.000
16 Rh 0.858 0.642 0.000

Results
Total moment (μB/f.u.): 0.000
Volume (Å³/f.u.): 222.2
DFT total energy (eV per cell): -95.1
Energy relative to the elements, uncorrected (eV/f.u.): -5.8
N(E_F) (states/eV per cell): 13.0